K2RbSrCl: optimized geometry, PBE.

Results
As for the magnetization: 0.0003 μB/atom. The value obtained for the polymorph energy (0 for the lowest one) is 12.6 kJ/mol of formula units. The uncorrected formation energy comes out at -0.592 eV/atom.

Cell lengths 6.5026, 6.5026, 6.7175 Å; angles 90.00, 90.00, 90.00 degrees
Space group P4/mmm (No. 123)
One atom of each set of equivalent atoms:
K  0.0000  0.5000  0.0000 (multiplicity 2)
Rb  0.0000  0.0000  0.5000 (multiplicity 1)
Sr  0.5000  0.5000  0.5000 (multiplicity 1)
Cl  0.0000  0.0000  0.0000 (multiplicity 1)